DFT (PBE-GGA) results for a geometry-optimized NdHo2In2 structure. Values from VASP.

The structure in Quantum ESPRESSO input format:
```
&SYSTEM
  ibrav = 0, nat = 10, ntyp = 3
/
ATOMIC_SPECIES
In 114.82 In.upf
Ho 164.93 Ho.upf
Nd 144.24 Nd.upf
ATOMIC_POSITIONS crystal
In 0.357 0.250 0.713
Ho 0.764 0.250 0.527
Ho 0.236 0.750 0.473
In 0.453 0.750 0.906
In 0.547 0.250 0.094
In 0.643 0.750 0.287
Nd 0.147 0.250 0.296
Ho 0.049 0.750 0.097
Nd 0.853 0.750 0.704
Ho 0.951 0.250 0.903
CELL_PARAMETERS angstrom
-2.075 3.144 -0.277
-0.822 -0.071 5.353
12.499 6.154 2.001
```

Results
formation energy: -1.86 eV/f.u.
excess energy over the best structure of this formula in the dataset: 0 meV/atom